The following is a SCAN calculation of a crystal of SrLiW relaxed with PBEsol, from Alexandria.

Unit cell a=2.9780 b=2.9780 c=8.2399 alpha=90.00 beta=90.00 gamma=120.00
Atoms (fractional coordinates):
Sr (0.0000, 0.0000, 0.0000)
Li (0.3333, 0.6667, 0.3919)
W (0.6667, 0.3333, 0.6752)

Summary:
SG = P3m1 (156)
Calculated volume = 63.3 Å³/cell
Energy of formation = 1.184 eV/atom